Compound: Cs2SmCoO4
Source: Alexandria via LeMat-Bulk
Functional: PBE with a Hubbard U
Structure: optimized geometry

For the raw total energy, the calculation gives -5.53 eV per atom. The total magnetization is 4.06 μB per formula unit. The calculation puts the density at 3.981 g/cm³.

It has space group Fddd (No. 70, origin choice 2), with a = 5.795 Å, b = 12.973 Å, c = 23.926 Å, α = 90.00°, β = 90.00° and γ = 90.00°. The asymmetric unit holds Cs at (0.125, 0.125, 0.310), Sm at (0.125, 0.125, 0.125), Co at (0.125, 0.125, 0.625) and O at (0.090, 0.287, 0.838).